Record 1
Compound: TbHoCoAg
Source: Alexandria
Functional: GGA-PBE
Structure: optimized geometry

Computed properties:
Energy relative to the lowest polymorph listed for this composition ... 0.0 meV per atom
Symmetry ... P4mm
DFT formation energy ... -0.242 eV per atom

Lattice parameters (Å, degrees): 3.3718 3.3718 7.5259 90.00 90.00 90.00
Atoms (fractional coordinates):
Tb 0.0000 0.0000 0.0000
Ho 0.0000 0.0000 0.5613
Co 0.5000 0.5000 0.7780
Ag 0.5000 0.5000 0.2852

Record 2
Compound: La3Sm2N4
Source: Alexandria
Functional: GGA-PBE
Structure: optimized geometry

Computed properties:
Symmetry ... C2/m
Uncorrected formation energy ... -1.258 eV per atom

Lattice parameters (Å, degrees): 3.6514 3.6514 15.5596 90.05 90.05 60.00
Atoms (fractional coordinates):
La 0.0000 0.0000 0.0000
La 0.3343 0.3343 0.3760
La 0.6657 0.6657 0.6240
Sm 0.3328 0.3328 0.8116
Sm 0.6672 0.6672 0.1884
N 0.0008 0.0008 0.2952
N 0.3336 0.3336 0.1038
N 0.6664 0.6664 0.8962
N 0.9992 0.9992 0.7048